# Tm2BePd8 PBE relaxed
data_Tm2BePd8
_chemical_formula_sum 'Tm4 Be2 Pd16'
_cell_length_a 4.576
_cell_length_b 5.859
_cell_length_c 13.589
_cell_angle_alpha 90.00
_cell_angle_beta 90.00
_cell_angle_gamma 90.00
_space_group_name_H-M_alt 'I m m m'
_space_group_IT_number 71
_space_group_name_Hall '-I 2 2'
loop_
_atom_site_label
_atom_site_type_symbol
_atom_site_fract_x
_atom_site_fract_y
_atom_site_fract_z
Tm1 Tm 0.000 0.000 0.190
Be1 Be 0.000 0.000 0.500
Pd1 Pd 0.000 0.253 0.000
Pd2 Pd 0.000 0.256 0.377
Pd3 Pd 0.000 0.500 0.180
# Energy of formation, eV per atom: -0.660
# N(E_F), states/eV/cell: 7.162

=====

# TmBe9Pd2 PBE relaxed
data_TmBe9Pd2
_chemical_formula_sum 'Tm2 Be18 Pd4'
_cell_length_a 4.4980
_cell_length_b 4.4980
_cell_length_c 14.3098
_cell_angle_alpha 90.00
_cell_angle_beta 90.00
_cell_angle_gamma 120.00
_space_group_name_H-M_alt 'P 63/m m c'
_space_group_IT_number 194
_space_group_name_Hall '-P 6c 2c'
loop_
_atom_site_label
_atom_site_type_symbol
_atom_site_fract_x
_atom_site_fract_y
_atom_site_fract_z
Tm1 Tm 0.3333 0.6667 0.2500
Be1 Be 0.0000 0.0000 0.0000
Be2 Be 0.0000 0.0000 0.2500
Be3 Be 0.1679 0.3358 0.6198
Be4 Be 0.3333 0.6667 0.7500
Pd1 Pd 0.3333 0.6667 0.0419
# Energy of formation, eV per atom: -0.318
# N(E_F), states/eV/cell: 6.113

=====

# TmBePd2 PBE relaxed
data_TmBePd2
_chemical_formula_sum 'Tm1 Be1 Pd2'
_cell_length_a 3.154
_cell_length_b 3.154
_cell_length_c 6.429
_cell_angle_alpha 90.00
_cell_angle_beta 90.00
_cell_angle_gamma 90.00
_space_group_name_H-M_alt 'P 4/m m m'
_space_group_IT_number 123
_space_group_name_Hall '-P 4 2'
loop_
_atom_site_label
_atom_site_type_symbol
_atom_site_fract_x
_atom_site_fract_y
_atom_site_fract_z
Tm1 Tm 0.000 0.000 0.000
Be1 Be 0.000 0.000 0.500
Pd1 Pd 0.500 0.500 0.293
# Energy of formation, eV per atom: -0.593
# N(E_F), states/eV/cell: 0.980
# Polymorph energy (0 for the lowest one), kcal/mol of atoms: 3.423

=====

# TmBe2Pd PBE relaxed
data_TmBe2Pd
_chemical_formula_sum 'Tm3 Be6 Pd3'
_cell_length_a 3.9176
_cell_length_b 3.9176
_cell_length_c 14.1159
_cell_angle_alpha 90.00
_cell_angle_beta 90.00
_cell_angle_gamma 120.00
_space_group_name_H-M_alt 'R -3 m'
_space_group_IT_number 166
_space_group_name_Hall '-R 3 2"'
loop_
_atom_site_label
_atom_site_type_symbol
_atom_site_fract_x
_atom_site_fract_y
_atom_site_fract_z
Tm1 Tm 0.0000 0.0000 0.0000
Be1 Be 0.0000 0.0000 0.1970
Pd1 Pd 0.0000 0.0000 0.5000
# Energy of formation, eV per atom: -0.396
# N(E_F), states/eV/cell: 5.882

=====

# Tm3Be2Pd5 PBE relaxed
data_Tm3Be2Pd5
_chemical_formula_sum 'Tm6 Be4 Pd10'
_cell_length_a 9.693
_cell_length_b 9.693
_cell_length_c 3.602
_cell_angle_alpha 90.00
_cell_angle_beta 90.00
_cell_angle_gamma 90.00
_space_group_name_H-M_alt 'P 4/m b m'
_space_group_IT_number 127
_space_group_name_Hall '-P 4 2ab'
loop_
_atom_site_label
_atom_site_type_symbol
_atom_site_fract_x
_atom_site_fract_y
_atom_site_fract_z
Tm1 Tm 0.000 0.000 0.000
Tm2 Tm 0.177 0.323 0.000
Be1 Be 0.116 0.616 0.000
Pd1 Pd 0.000 0.500 0.500
Pd2 Pd 0.071 0.778 0.500
# Energy of formation, eV per atom: -0.827
# N(E_F), states/eV/cell: 8.385

=====

# TmBePd PBE relaxed
data_TmBePd
_chemical_formula_sum 'Tm2 Be2 Pd2'
_cell_length_a 4.033
_cell_length_b 4.033
_cell_length_c 6.469
_cell_angle_alpha 90.00
_cell_angle_beta 90.00
_cell_angle_gamma 90.00
_space_group_name_H-M_alt 'P 4/n m m'
_space_group_IT_number 129
loop_
_space_group_symop_operation_xyz
'x,y,z'
'-x,-y,-z'
'-y+1/2,x,z'
'y+1/2,-x,-z'
'-x+1/2,-y+1/2,z'
'x+1/2,y+1/2,-z'
'y,-x+1/2,z'
'-y,x+1/2,-z'
'x+1/2,-y,-z'
'-x+1/2,y,z'
'-y,-x,-z'
'y,x,z'
'-x,y+1/2,-z'
'x,-y+1/2,z'
'y+1/2,x+1/2,-z'
'-y+1/2,-x+1/2,z'
loop_
_atom_site_label
_atom_site_type_symbol
_atom_site_fract_x
_atom_site_fract_y
_atom_site_fract_z
Tm1 Tm 0.250 0.250 0.170
Be1 Be 0.250 0.750 0.500
Pd1 Pd 0.250 0.250 0.700
# Energy of formation, eV per atom: -0.560
# N(E_F), states/eV/cell: 4.296
# Polymorph energy (0 for the lowest one), kcal/mol of atoms: 0.000

=====

# TmBePd2 PBE relaxed
data_TmBePd2
_chemical_formula_sum 'Tm4 Be4 Pd8'
_cell_length_a 4.085
_cell_length_b 17.117
_cell_length_c 3.859
_cell_angle_alpha 90.00
_cell_angle_beta 90.00
_cell_angle_gamma 90.00
_space_group_name_H-M_alt 'C m m m'
_space_group_IT_number 65
_space_group_name_Hall '-C 2 2'
loop_
_atom_site_label
_atom_site_type_symbol
_atom_site_fract_x
_atom_site_fract_y
_atom_site_fract_z
Tm1 Tm 0.000 0.145 0.000
Be1 Be 0.000 0.429 0.500
Pd1 Pd 0.000 0.000 0.500
Pd2 Pd 0.000 0.300 0.500
Pd3 Pd 0.000 0.500 0.000
# Energy of formation, eV per atom: -0.741
# N(E_F), states/eV/cell: 5.802
# Polymorph energy (0 for the lowest one), kcal/mol of atoms: 0.000

=====

# TmBePd PBE relaxed
data_TmBePd
_chemical_formula_sum 'Tm1 Be1 Pd1'
_cell_length_a 4.0472
_cell_length_b 4.0472
_cell_length_c 3.7552
_cell_angle_alpha 90.00
_cell_angle_beta 90.00
_cell_angle_gamma 120.00
_space_group_name_H-M_alt 'P -6 m 2'
_space_group_IT_number 187
_space_group_name_Hall 'P -6 2'
loop_
_atom_site_label
_atom_site_type_symbol
_atom_site_fract_x
_atom_site_fract_y
_atom_site_fract_z
Tm1 Tm 0.0000 0.0000 0.0000
Be1 Be 0.3333 0.6667 0.5000
Pd1 Pd 0.6667 0.3333 0.5000
# Energy of formation, eV per atom: -0.558
# N(E_F), states/eV/cell: 2.034
# Polymorph energy (0 for the lowest one), kcal/mol of atoms: 0.049

=====

# TmBe2Pd3 PBE relaxed
data_TmBe2Pd3
_chemical_formula_sum 'Tm3 Be6 Pd9'
_cell_length_a 9.0056
_cell_length_b 9.0056
_cell_length_c 3.8680
_cell_angle_alpha 90.00
_cell_angle_beta 90.00
_cell_angle_gamma 120.00
_space_group_name_H-M_alt 'P 6/m m m'
_space_group_IT_number 191
_space_group_name_Hall '-P 6 2'
loop_
_atom_site_label
_atom_site_type_symbol
_atom_site_fract_x
_atom_site_fract_y
_atom_site_fract_z
Tm1 Tm 0.0000 0.0000 0.0000
Tm2 Tm 0.3333 0.6667 0.5000
Be1 Be 0.1819 0.3638 0.0000
Pd1 Pd 0.0000 0.2941 0.5000
Pd2 Pd 0.0000 0.5000 0.0000
# Energy of formation, eV per atom: -0.583
# N(E_F), states/eV/cell: 10.224

=====

# TmBePd5 PBE relaxed
data_TmBePd5
_chemical_formula_sum 'Tm1 Be1 Pd5'
_cell_length_a 4.015
_cell_length_b 4.015
_cell_length_c 6.897
_cell_angle_alpha 90.00
_cell_angle_beta 90.00
_cell_angle_gamma 90.00
_space_group_name_H-M_alt 'P 4/m m m'
_space_group_IT_number 123
_space_group_name_Hall '-P 4 2'
loop_
_atom_site_label
_atom_site_type_symbol
_atom_site_fract_x
_atom_site_fract_y
_atom_site_fract_z
Tm1 Tm 0.000 0.000 0.000
Be1 Be 0.500 0.500 0.500
Pd1 Pd 0.000 0.500 0.303
Pd2 Pd 0.500 0.500 0.000
# Energy of formation, eV per atom: -0.607
# N(E_F), states/eV/cell: 7.208

=====

# TmBePd3 PBE relaxed
data_TmBePd3
_chemical_formula_sum 'Tm4 Be4 Pd12'
_cell_length_a 8.150
_cell_length_b 11.244
_cell_length_c 3.465
_cell_angle_alpha 90.00
_cell_angle_beta 90.00
_cell_angle_gamma 90.00
_space_group_name_H-M_alt 'C m m m'
_space_group_IT_number 65
_space_group_name_Hall '-C 2 2'
loop_
_atom_site_label
_atom_site_type_symbol
_atom_site_fract_x
_atom_site_fract_y
_atom_site_fract_z
Tm1 Tm 0.000 0.225 0.000
Be1 Be 0.211 0.000 0.000
Pd1 Pd 0.000 0.000 0.500
Pd2 Pd 0.000 0.500 0.000
Pd3 Pd 0.211 0.370 0.500
# Energy of formation, eV per atom: -0.763
# N(E_F), states/eV/cell: 6.866
# Polymorph energy (0 for the lowest one), kcal/mol of atoms: 0.000

=====

# Tm2BePd6 PBE relaxed
data_Tm2BePd6
_chemical_formula_sum 'Tm4 Be2 Pd12'
_cell_length_a 13.286
_cell_length_b 7.169
_cell_length_c 3.585
_cell_angle_alpha 90.00
_cell_angle_beta 105.44
_cell_angle_gamma 90.00
_space_group_name_H-M_alt 'C 1 2/m 1'
_space_group_IT_number 12
loop_
_space_group_symop_operation_xyz
'x,y,z'
'-x,-y,-z'
'-x,y,-z'
'x,-y,z'
'x+1/2,y+1/2,z'
'-x+1/2,-y+1/2,-z'
'-x+1/2,y+1/2,-z'
'x+1/2,-y+1/2,z'
loop_
_atom_site_label
_atom_site_type_symbol
_atom_site_fract_x
_atom_site_fract_y
_atom_site_fract_z
Tm1 Tm 0.145 0.000 0.141
Be1 Be 0.000 0.500 0.500
Pd1 Pd 0.000 0.300 0.000
Pd2 Pd 0.165 0.301 0.663
# Energy of formation, eV per atom: -0.560
# N(E_F), states/eV/cell: 6.474
# Polymorph energy (0 for the lowest one), kcal/mol of atoms: 8.287

=====

- The lowest energy of formation belongs to which entry?
  Tm3Be2Pd5

=====

- Among the records above, which one has the lowest energy of formation?
  Tm3Be2Pd5